A geometry-optimized Y2HgICl structure. Source: Alexandria via LeMat-Bulk, functional PBE.

a b c (Å): 5.244 5.244 6.054
angles (deg): 90.00 90.00 90.00
Space group P4/mmm (No. 123)
Symmetry-distinct sites (fractional):
Y  0.000  0.500  0.000 [2 per cell]
Hg  0.000  0.000  0.500 [1 per cell]
I  0.500  0.500  0.500 [1 per cell]
Cl  0.000  0.000  0.000 [1 per cell]

Values from the calculation:
Its formation energy without anion corrections is -0.2481 eV per atom. Its volume is 166.5 Å³ per cell. The uncorrected energy comes out at -3.57 eV/atom.